Record 1
# Ac6BiAs2P3 (PBE-GGA, relaxed)
# Crystal system: monoclinic
# Formation enthalpy at 0 K (kJ/mol of formula units): -1584
data_Ac6BiAs2P3
_chemical_formula_sum 'Ac12 Bi2 As4 P6'
_space_group_name_H-M_alt 'C 1 2/m 1'
_space_group_IT_number 12
_space_group_name_Hall '-C 2y'
_cell_length_a 19.865
_cell_length_b 4.541
_cell_length_c 9.135
_cell_angle_alpha 90.00
_cell_angle_beta 103.41
_cell_angle_gamma 90.00
loop_
_atom_site_label
_atom_site_type_symbol
_atom_site_fract_x
_atom_site_fract_y
_atom_site_fract_z
Ac1 Ac 0.001 0.000 0.233
Ac2 Ac 0.167 0.500 0.086
Ac3 Ac 0.173 0.500 0.584
Bi1 Bi 0.000 0.500 0.500
As1 As 0.167 0.000 0.835
P1 P 0.000 0.500 0.000
P2 P 0.166 0.000 0.331

---

Record 2
# Tc3HS (PBE-GGA, relaxed)
# Crystal system: cubic
# Excess energy over the best structure of this formula in the dataset (eV/f.u.): 0.00
data_Tc3HS
_chemical_formula_sum 'Tc3 H1 S1'
_space_group_name_H-M_alt 'P m -3 m'
_space_group_IT_number 221
_space_group_name_Hall '-P 4 2 3'
_cell_length_a 3.915
_cell_length_b 3.915
_cell_length_c 3.915
_cell_angle_alpha 90.00
_cell_angle_beta 90.00
_cell_angle_gamma 90.00
loop_
_atom_site_label
_atom_site_type_symbol
_atom_site_fract_x
_atom_site_fract_y
_atom_site_fract_z
Tc1 Tc 0.000 0.000 0.500
H1 H 0.000 0.000 0.000
S1 S 0.500 0.500 0.500

---

Record 3
# CaRh2 (PBE-GGA, relaxed)
# Crystal system: tetragonal
# Formation enthalpy at 0 K (kJ/mol of formula units): -2
data_CaRh2
_chemical_formula_sum 'Ca2 Rh4'
_space_group_name_H-M_alt 'I 4/m m m'
_space_group_IT_number 139
_space_group_name_Hall '-I 4 2'
_cell_length_a 2.990
_cell_length_b 2.990
_cell_length_c 12.118
_cell_angle_alpha 90.00
_cell_angle_beta 90.00
_cell_angle_gamma 90.00
loop_
_atom_site_label
_atom_site_type_symbol
_atom_site_fract_x
_atom_site_fract_y
_atom_site_fract_z
Ca1 Ca 0.000 0.000 0.000
Rh1 Rh 0.000 0.000 0.315

---

Record 4
# ZnAg2Au8 (PBE-GGA, relaxed)
# Crystal system: monoclinic
# Formation enthalpy at 0 K (kJ/mol of formula units): -66
# Excess energy over the best structure of this formula in the dataset (eV/f.u.): 0.00
data_ZnAg2Au8
_chemical_formula_sum 'Zn2 Ag4 Au16'
_space_group_name_H-M_alt 'C 1 2/m 1'
_space_group_IT_number 12
_space_group_name_Hall '-C 2y'
_cell_length_a 14.933
_cell_length_b 4.141
_cell_length_c 6.518
_cell_angle_alpha 90.00
_cell_angle_beta 104.73
_cell_angle_gamma 90.00
loop_
_atom_site_label
_atom_site_type_symbol
_atom_site_fract_x
_atom_site_fract_y
_atom_site_fract_z
Zn1 Zn 0.000 0.000 0.000
Ag1 Ag 0.225 0.500 0.633
Au1 Au 0.045 0.500 0.732
Au2 Au 0.090 0.000 0.443
Au3 Au 0.136 0.500 0.177
Au4 Au 0.180 0.000 0.909

---

Record 5
# KReTe2 (PBE-GGA, relaxed)
# ΔE_f (raw) (eV per atom): 0.067
# Crystal system: tetragonal
# Excess energy over the best structure of this formula in the dataset (eV/f.u.): 0.44
data_KReTe2
_chemical_formula_sum 'K4 Re4 Te8'
_space_group_name_H-M_alt 'I -4 2 d'
_space_group_IT_number 122
_space_group_name_Hall 'I -4 2bw'
_cell_length_a 8.113
_cell_length_b 8.113
_cell_length_c 8.409
_cell_angle_alpha 90.00
_cell_angle_beta 90.00
_cell_angle_gamma 90.00
loop_
_atom_site_label
_atom_site_type_symbol
_atom_site_fract_x
_atom_site_fract_y
_atom_site_fract_z
K1 K 0.000 0.000 0.000
Re1 Re 0.000 0.000 0.500
Te1 Te 0.149 0.250 0.625

---

Record 6
# TbInCuAg (PBE-GGA, relaxed)
# Crystal system: cubic
# Formation enthalpy at 0 K (kJ/mol of formula units): -125
data_TbInCuAg
_chemical_formula_sum 'Tb4 In4 Cu4 Ag4'
_space_group_name_H-M_alt 'F -4 3 m'
_space_group_IT_number 216
_space_group_name_Hall 'F -4 2 3'
_cell_length_a 6.861
_cell_length_b 6.861
_cell_length_c 6.861
_cell_angle_alpha 90.00
_cell_angle_beta 90.00
_cell_angle_gamma 90.00
loop_
_atom_site_label
_atom_site_type_symbol
_atom_site_fract_x
_atom_site_fract_y
_atom_site_fract_z
Tb1 Tb 0.000 0.000 0.000
In1 In 0.000 0.000 0.500
Cu1 Cu 0.250 0.250 0.750
Ag1 Ag 0.250 0.250 0.250

---

Record 7
# ZrNiTe3 (PBE-GGA, relaxed)
# ΔE_f (raw) (eV per atom): 0.187
# Crystal system: cubic
# Excess energy over the best structure of this formula in the dataset (eV/f.u.): 3.51
data_ZrNiTe3
_chemical_formula_sum 'Zr1 Ni1 Te3'
_space_group_name_H-M_alt 'P m -3 m'
_space_group_IT_number 221
_space_group_name_Hall '-P 4 2 3'
_cell_length_a 4.990
_cell_length_b 4.990
_cell_length_c 4.990
_cell_angle_alpha 90.00
_cell_angle_beta 90.00
_cell_angle_gamma 90.00
loop_
_atom_site_label
_atom_site_type_symbol
_atom_site_fract_x
_atom_site_fract_y
_atom_site_fract_z
Zr1 Zr 0.000 0.000 0.000
Ni1 Ni 0.500 0.500 0.500
Te1 Te 0.000 0.500 0.500

---

Record 8
# Pm3ZnTe2 (PBE-GGA, relaxed)
# ΔE_f (raw) (eV per atom): -1.022
# Crystal system: monoclinic
# Excess energy over the best structure of this formula in the dataset (eV/f.u.): 0.07
data_Pm3ZnTe2
_chemical_formula_sum 'Pm12 Zn4 Te8'
_space_group_name_H-M_alt 'C 1 2/m 1'
_space_group_IT_number 12
_space_group_name_Hall '-C 2y'
_cell_length_a 7.547
_cell_length_b 13.116
_cell_length_c 7.757
_cell_angle_alpha 90.00
_cell_angle_beta 109.10
_cell_angle_gamma 90.00
loop_
_atom_site_label
_atom_site_type_symbol
_atom_site_fract_x
_atom_site_fract_y
_atom_site_fract_z
Pm1 Pm 0.239 0.000 0.238
Pm2 Pm 0.249 0.170 0.759
Zn1 Zn 0.000 0.168 0.000
Te1 Te 0.000 0.000 0.500
Te2 Te 0.000 0.339 0.500
Te3 Te 0.000 0.500 0.000

---

Record 9
# GdDy2Te (PBE-GGA, relaxed)
# ΔE_f (raw) (eV per atom): -0.556
# Crystal system: tetragonal
# Excess energy over the best structure of this formula in the dataset (eV/f.u.): 0.00
data_GdDy2Te
_chemical_formula_sum 'Gd1 Dy2 Te1'
_space_group_name_H-M_alt 'P 4/m m m'
_space_group_IT_number 123
_space_group_name_Hall '-P 4 2'
_cell_length_a 3.880
_cell_length_b 3.880
_cell_length_c 7.803
_cell_angle_alpha 90.00
_cell_angle_beta 90.00
_cell_angle_gamma 90.00
loop_
_atom_site_label
_atom_site_type_symbol
_atom_site_fract_x
_atom_site_fract_y
_atom_site_fract_z
Gd1 Gd 0.000 0.000 0.000
Dy1 Dy 0.500 0.500 0.277
Te1 Te 0.000 0.000 0.500

---

Record 10
# NdSm2S4 (PBE-GGA, relaxed)
# ΔE_f (raw) (eV per atom): -2.040
# Crystal system: orthorhombic
# Excess energy over the best structure of this formula in the dataset (eV/f.u.): 0.05
data_NdSm2S4
_chemical_formula_sum 'Nd4 Sm8 S16'
_space_group_name_H-M_alt 'P n m a'
_space_group_IT_number 62
_space_group_name_Hall '-P 2ac 2n'
_cell_length_a 11.435
_cell_length_b 4.012
_cell_length_c 14.414
_cell_angle_alpha 90.00
_cell_angle_beta 90.00
_cell_angle_gamma 90.00
loop_
_atom_site_label
_atom_site_type_symbol
_atom_site_fract_x
_atom_site_fract_y
_atom_site_fract_z
Nd1 Nd 0.240 0.250 0.151
Sm1 Sm 0.065 0.750 0.396
Sm2 Sm 0.112 0.750 0.901
S1 S 0.015 0.750 0.714
S2 S 0.066 0.750 0.092
S3 S 0.161 0.250 0.515
S4 S 0.232 0.250 0.798

---

Record 11
# MnCdCu2 (PBE-GGA, relaxed)
# Crystal system: trigonal
# Formation enthalpy at 0 K (kJ/mol of formula units): 85
data_MnCdCu2
_chemical_formula_sum 'Mn3 Cd3 Cu6'
_space_group_name_H-M_alt 'R -3 m'
_space_group_IT_number 166
_space_group_name_Hall '-R 3 2"'
_cell_length_a 2.8226
_cell_length_b 2.8226
_cell_length_c 26.1828
_cell_angle_alpha 90.00
_cell_angle_beta 90.00
_cell_angle_gamma 120.00
loop_
_atom_site_label
_atom_site_type_symbol
_atom_site_fract_x
_atom_site_fract_y
_atom_site_fract_z
Mn1 Mn 0.0000 0.0000 0.0000
Cd1 Cd 0.0000 0.0000 0.5000
Cu1 Cu 0.0000 0.0000 0.2568

---

Record 12
# Sm7Er12Zr (PBE-GGA, relaxed)
# Crystal system: trigonal
# Formation enthalpy at 0 K (kJ/mol of formula units): 530
data_Sm7Er12Zr
_chemical_formula_sum 'Sm21 Er36 Zr3'
_space_group_name_H-M_alt 'R -3'
_space_group_IT_number 148
_space_group_name_Hall '-R 3'
_cell_length_a 12.5059
_cell_length_b 12.5059
_cell_length_c 14.2319
_cell_angle_alpha 90.00
_cell_angle_beta 90.00
_cell_angle_gamma 120.00
loop_
_atom_site_label
_atom_site_type_symbol
_atom_site_fract_x
_atom_site_fract_y
_atom_site_fract_z
Sm1 Sm 0.0000 0.0000 0.0000
Sm2 Sm 0.0544 0.1865 0.3188
Er1 Er 0.0216 0.4371 0.2182
Er2 Er 0.0670 0.8348 0.8961
Zr1 Zr 0.0000 0.0000 0.5000

---

Number 1: E -5.8727 eV per atom, DOS at the Fermi energy 1.168 states/eV/f.u.. Number 2: E -7.1571 eV per atom, DOS at the Fermi energy 5.573 states/eV/f.u.. Number 3: E -5.5763 eV per atom, DOS at the Fermi energy 3.419 states/eV/f.u.. Number 4: E -3.0795 eV per atom, DOS at the Fermi energy 2.916 states/eV/f.u.. Number 5: E -4.8904 eV per atom, DOS at the Fermi energy 3.597 states/eV/f.u.. Number 6: E -3.9022 eV per atom, DOS at the Fermi energy 2.545 states/eV/f.u.. Number 7: E -4.5643 eV per atom, DOS at the Fermi energy 4.511 states/eV/f.u.. Number 8: E -4.6567 eV per atom, DOS at the Fermi energy 5.391 states/eV/f.u.. Number 9: E -7.1625 eV per atom, DOS at the Fermi energy 4.722 states/eV/f.u.. Number 10: E -6.4282 eV per atom, DOS at the Fermi energy 2.847 states/eV/f.u.. Number 11: E -4.3495 eV per atom, DOS at the Fermi energy 2.220 states/eV/f.u.. Number 12: E -4.5422 eV per atom, DOS at the Fermi energy 34.935 states/eV/f.u..